Density functional theory data (PBE+U) for a relaxed structure of Ca2Fe3O8.

POSCAR file:
```
Ca2Fe3O8
1.0
-2.4666 0.4785 -4.3063
3.0686 -4.5568 -2.2639
-4.2362 -1.2014 4.4736
O Fe Ca
8 3 2
Cartesian
-0.8201 -1.5163 -1.5119
0.8898 -4.0556 -2.7735
-4.5241 -1.2241 0.6769
-0.8748 -5.0313 1.1435
-1.4087 -2.5402 -4.5939
-2.2255 -2.7395 2.4973
-2.7595 -0.2484 -3.2401
-2.8141 -3.7634 -0.5846
0.7864 -1.1678 -0.5802
2.2822 -3.3891 -1.6837
-1.2333 0.2392 -2.1531
-2.3192 -1.7731 0.4254
-1.3150 -3.5066 -2.5220
```

Properties
Offset from the most stable computed form in eV/atom: 0.000
Calculated total energy in eV/atom: -6.265
Calculated density in Mg/m³: 4.1
Symmetry: C2/m, No. 12